## InTePb (PBE)

Data for a geometry-optimized InTePb structure.

Computed properties:
E_form (uncorrected): -0.108 eV/atom
M_tot: 0.0 μB/cell
E: -3.30 eV/atom

a b c (Å): 3.978 3.978 11.427
angles (deg): 90.00 90.00 90.00
Space group I4mm (No. 107)
One atom of each set of equivalent atoms:
In  0.000  0.000  0.000 (multiplicity 2)
Te  0.000  0.000  0.348 (multiplicity 2)
Pb  0.000  0.000  0.683 (multiplicity 2)